1.
The following is a DFT calculation (PBE-GGA) of an optimized crystal structure of CrFeAu2.

a b c (Å): 2.8557 5.1421 5.5699
angles (deg): 52.75 90.00 90.00
With the nearest neighbours (Å) after each atom.
Sites, in units of the cell vectors:
Au (0.0000, 0.0000, 0.0000)  4 Cr 2.78, 2 Fe 2.78, 6 Au 2.86-2.94
Au (0.5000, 0.5000, 0.0000)  4 Fe 2.78, 2 Cr 2.78, 6 Au 2.86-2.94
Cr (0.5000, 0.5000, 0.5000)  6 Au 2.78, 2 Cr 2.86, 4 Fe 2.94
Fe (0.0000, 0.0000, 0.5000)  6 Au 2.78, 2 Fe 2.86, 4 Cr 2.94

## Properties
The crystal system is monoclinic. Its formation energy is 0.3802 eV per atom.

***

2.
The following is a DFT calculation (PBE-GGA) of an optimized crystal structure of Ce2NpIn.

a b c (Å): 3.6828 3.6828 7.7558
angles (deg): 90.00 90.00 90.00
With the nearest neighbours (Å) after each atom.
Sites, in units of the cell vectors:
Np (0.5000, 0.5000, 0.0000)  8 Ce 3.17
Ce (0.0000, 0.0000, 0.7663)  4 Np 3.17, 4 In 3.32
Ce (0.0000, 0.0000, 0.2337)  4 Np 3.17, 4 In 3.32
In (0.5000, 0.5000, 0.5000)  8 Ce 3.32, 4 In 3.68

## Properties
The crystal system is tetragonal. Its formation energy is 0.0807 eV per atom.

***

3.
The following is a DFT calculation (PBE-GGA) of an optimized crystal structure of POs2Se.

a b c (Å): 5.4385 5.4385 5.4385
angles (deg): 149.17 131.77 58.35
With the nearest neighbours (Å) after each atom.
Sites, in units of the cell vectors:
P (0.5000, 0.0000, 0.5000)  4 Os 2.36
Os (0.6962, 0.6962, 0.0000)  2 P 2.36
Os (0.3038, 0.3038, 0.0000)  2 P 2.36
Se (0.0000, 0.5000, 0.5000)  4 P 2.65, 2 Se 2.89, 4 Os 2.90

## Properties
The crystal system is orthorhombic. The calculation puts the uncorrected formation energy at 671 meV per atom.